Entry 1:
DFT (PBE-GGA) results for a geometry-optimized CoMoRu2Au structure.

Cell: 4.3178 4.3178 4.6139 Å, 90.00 90.00 90.00°
Sites, in units of the cell vectors:
Co 0.0000 0.0000 0.0000
Mo 0.5000 0.5000 0.5000
Ru 0.0000 0.5000 0.0000
Ru 0.5000 0.0000 0.0000
Au 0.0000 0.0000 0.5000


Entry 2:
DFT (PBE-GGA) results for a geometry-optimized LiLa5In6 structure.

Cell: 9.5123 9.5123 5.4591 Å, 106.56 106.56 48.36°
Sites, in units of the cell vectors:
Li 0.0000 0.0000 0.0000
La 0.1793 0.1793 0.6783
La 0.3381 0.3381 0.3386
La 0.5000 0.5000 0.0000
La 0.6619 0.6619 0.6614
La 0.8207 0.8207 0.3217
In 0.0740 0.6205 0.8480
In 0.2118 0.7882 0.5000
In 0.3795 0.9260 0.1520
In 0.6205 0.0740 0.8480
In 0.7882 0.2118 0.5000
In 0.9260 0.3795 0.1520


Entry 3:
DFT (PBE-GGA) results for a geometry-optimized HfGaNi2Pt structure.

Cell: 4.5655 4.5655 4.4745 Å, 90.00 90.00 90.00°
Sites, in units of the cell vectors:
Hf 0.0000 0.0000 0.0000
Ga 0.5000 0.5000 0.0000
Ni 0.0000 0.5000 0.5000
Ni 0.5000 0.0000 0.5000
Pt 0.5000 0.5000 0.5000


Entry 4:
DFT (PBE-GGA) results for a geometry-optimized PrCdPdO4 structure.

Properties
* formation energy without anion corrections: -1.4803 eV/atom

Cell: 6.5537 6.5537 6.5537 Å, 113.58 112.30 102.74°
Sites, in units of the cell vectors:
Pr 0.0000 0.0000 0.0000
Pr 0.5000 0.0000 0.5000
Cd 0.3263 0.5763 0.7500
Cd 0.6737 0.4237 0.2500
Pd 0.0000 0.0000 0.5000
Pd 0.0000 0.5000 0.0000
O 0.1467 0.7117 0.4350
O 0.2233 0.2883 0.9350
O 0.2497 0.2116 0.4620
O 0.2497 0.7877 0.0380
O 0.7503 0.2123 0.9620
O 0.7503 0.7884 0.5380
O 0.7767 0.7117 0.0650
O 0.8533 0.2883 0.5650


Entry 5:
DFT (PBE-GGA) results for a geometry-optimized La3Tb3Ho2 structure.

Cell: 10.9046 10.9046 10.9046 Å, 153.05 152.69 38.75°
Sites, in units of the cell vectors:
La 0.0000 0.0000 0.0000
La 0.3744 0.8744 0.5000
La 0.6256 0.1256 0.5000
Tb 0.1283 0.6283 0.5000
Tb 0.5000 0.5000 0.0000
Tb 0.8717 0.3717 0.5000
Ho 0.2489 0.2489 0.0000
Ho 0.7511 0.7511 0.0000


Entry 6:
DFT (PBE-GGA) results for a geometry-optimized Tb4Nd3Ho5 structure.

Properties
* energy relative to the lowest polymorph listed for this composition: 0.000 eV/atom

Cell: 6.1890 7.1489 8.7537 Å, 90.00 89.86 89.82°
Sites, in units of the cell vectors:
Tb 0.1669 0.0001 0.3319
Tb 0.3314 0.7509 0.6671
Tb 0.6686 0.2491 0.3329
Tb 0.8331 0.9999 0.6681
Nd 0.3333 0.2496 0.6663
Nd 0.5000 0.5000 0.0000
Nd 0.6667 0.7504 0.3337
Ho 0.0010 0.7508 0.9999
Ho 0.1650 0.4997 0.3322
Ho 0.5000 0.0000 0.0000
Ho 0.8350 0.5003 0.6678
Ho 0.9990 0.2492 0.0001


Entry 7:
DFT (PBE-GGA) results for a geometry-optimized Mg5Sc3 structure.

Properties
* energy relative to the lowest polymorph listed for this composition: 0.000 eV/atom

Cell: 6.2288 6.2288 4.9824 Å, 90.00 90.00 107.48°
Sites, in units of the cell vectors:
Mg 0.0000 0.0000 0.0000
Mg 0.0000 0.5000 0.0000
Mg 0.2509 0.2509 0.5000
Mg 0.5000 0.0000 0.0000
Mg 0.7491 0.7491 0.5000
Sc 0.2460 0.7540 0.5000
Sc 0.5000 0.5000 0.0000
Sc 0.7540 0.2460 0.5000


Entry 8:
DFT (PBE-GGA) results for a geometry-optimized ErUPa2As4 structure.

Cell: 7.0583 4.0765 7.1081 Å, 90.00 109.31 90.00°
Sites, in units of the cell vectors:
Er 0.0000 0.0000 0.0000
U 0.0000 0.5000 0.5000
Pa 0.5000 0.0000 0.5000
Pa 0.5000 0.5000 0.0000
As 0.2484 0.0000 0.7511
As 0.2484 0.5000 0.2485
As 0.7516 0.0000 0.2489
As 0.7516 0.5000 0.7515


Entry 9:
DFT (PBE-GGA) results for a geometry-optimized PmNd3Al2 structure.

Properties
* energy relative to the lowest polymorph listed for this composition: 0.000 eV/atom

Cell: 5.2618 9.8366 6.7397 Å, 90.00 90.00 90.00°
Sites, in units of the cell vectors:
Pm 0.0000 0.0464 0.0000
Pm 0.0000 0.9536 0.5000
Nd 0.0000 0.3269 0.6673
Nd 0.0000 0.6731 0.1673
Nd 0.5000 0.1715 0.2872
Nd 0.5000 0.4541 0.9538
Nd 0.5000 0.5459 0.4538
Nd 0.5000 0.8285 0.7872
Al 0.0000 0.3504 0.1859
Al 0.0000 0.6496 0.6859
Al 0.5000 0.1485 0.7691
Al 0.5000 0.8515 0.2691


Entry 10:
DFT (PBE-GGA) results for a geometry-optimized Fe3P structure.

Properties
* energy relative to the lowest polymorph listed for this composition: 0.000 eV/atom

Cell: 6.7559 6.7559 6.7559 Å, 96.04 96.04 142.15°
Sites, in units of the cell vectors:
Fe 0.0887 0.0382 0.6108
Fe 0.1272 0.4582 0.6060
Fe 0.1589 0.3437 0.9722
Fe 0.3715 0.1867 0.0278
Fe 0.4274 0.4779 0.3892
Fe 0.4788 0.8728 0.3311
Fe 0.5221 0.9113 0.9495
Fe 0.5418 0.1477 0.6689
Fe 0.6563 0.6285 0.8152
Fe 0.8133 0.8411 0.1848
Fe 0.8523 0.5212 0.3940
Fe 0.9618 0.5726 0.0505
P 0.0523 0.7153 0.7544
P 0.2847 0.0391 0.3370
P 0.7021 0.9477 0.6630
P 0.9609 0.2979 0.2456


Entry 11:
DFT (PBE-GGA) results for a geometry-optimized Pr8Al2Au structure.

Cell: 9.6626 9.6626 9.6626 Å, 147.57 135.76 55.92°
Sites, in units of the cell vectors:
Pr 0.1282 0.3623 0.7658
Pr 0.1966 0.1966 0.0000
Pr 0.2621 0.0000 0.2621
Pr 0.4035 0.6377 0.7658
Pr 0.5965 0.3623 0.2342
Pr 0.7379 0.0000 0.7379
Pr 0.8034 0.8034 0.0000
Pr 0.8718 0.6377 0.2342
Al 0.3145 0.8145 0.5000
Al 0.6855 0.1855 0.5000
Au 0.0000 0.5000 0.5000


Entry 12:
DFT (PBE-GGA) results for a geometry-optimized MnTe2Au structure.

Properties
* energy relative to the lowest polymorph listed for this composition: 0.112 eV/atom
* formation energy without anion corrections: 0.0216 eV/atom

Cell: 4.1225 6.9592 7.8931 Å, 89.06 74.96 75.60°
Sites, in units of the cell vectors:
Mn 0.1295 0.0937 0.0138
Mn 0.8705 0.9063 0.9862
Te 0.2559 0.6382 0.7473
Te 0.3794 0.9288 0.2585
Te 0.6206 0.0712 0.7415
Te 0.7441 0.3618 0.2527
Au 0.1752 0.6102 0.1659
Au 0.8248 0.3898 0.8341


Entry 13:
DFT (PBE-GGA) results for a geometry-optimized RbBa2Hf structure.

Properties
* energy relative to the lowest polymorph listed for this composition: 0.000 eV/atom

Cell: 6.4052 6.4052 6.4052 Å, 60.00 60.00 60.00°
Sites, in units of the cell vectors:
Rb 0.0000 0.0000 0.0000
Ba 0.2500 0.2500 0.2500
Ba 0.7500 0.7500 0.7500
Hf 0.5000 0.5000 0.5000


Entry 14:
DFT (PBE-GGA) results for a geometry-optimized Tl2InI6 structure.

Properties
* energy relative to the lowest polymorph listed for this composition: 0.009 eV/atom
* formation energy without anion corrections: -0.4301 eV/atom

Cell: 8.3633 8.3633 9.3318 Å, 123.17 123.17 51.62°
Sites, in units of the cell vectors:
Tl 0.1966 0.1966 0.2711
Tl 0.8034 0.8034 0.7289
In 0.5000 0.5000 0.0000
I 0.1965 0.7178 0.1902
I 0.2566 0.2566 0.6889
I 0.2822 0.8035 0.8098
I 0.7178 0.1965 0.1902
I 0.7434 0.7434 0.3111
I 0.8035 0.2822 0.8098


Entry 15:
DFT (PBE-GGA) results for a geometry-optimized Nd2Er3Tm8 structure.

Cell: 11.0078 11.0078 5.4609 Å, 90.00 90.00 140.03°
Sites, in units of the cell vectors:
Nd 0.2403 0.7597 0.0000
Nd 0.7597 0.2403 0.0000
Er 0.0000 0.0000 0.0000
Er 0.2855 0.2855 0.5000
Er 0.7145 0.7145 0.5000
Tm 0.1276 0.8724 0.5000
Tm 0.1788 0.3926 0.0000
Tm 0.3398 0.6602 0.5000
Tm 0.3926 0.1788 0.0000
Tm 0.6074 0.8212 0.0000
Tm 0.6602 0.3398 0.5000
Tm 0.8212 0.6074 0.0000
Tm 0.8724 0.1276 0.5000


Entry 16:
DFT (PBE-GGA) results for a geometry-optimized TbZnIrAu structure.

Cell: 4.7318 4.7318 4.7318 Å, 60.00 60.00 60.00°
Sites, in units of the cell vectors:
Tb 0.0000 0.0000 0.0000
Zn 0.5000 0.5000 0.5000
Ir 0.2500 0.2500 0.2500
Au 0.7500 0.7500 0.7500


Entry 17:
DFT (PBE-GGA) results for a geometry-optimized Hf2PaTi structure.

Properties
* energy relative to the lowest polymorph listed for this composition: 0.085 eV/atom

Cell: 4.4360 4.4360 4.4746 Å, 90.00 90.00 90.00°
Sites, in units of the cell vectors:
Hf 0.0000 0.5000 0.0000
Hf 0.5000 0.0000 0.0000
Pa 0.0000 0.0000 0.5000
Ti 0.5000 0.5000 0.5000


Entry 18:
DFT (PBE-GGA) results for a geometry-optimized PrNd5Sb6 structure.

Properties
* formation energy without anion corrections: -1.1898 eV/atom

Cell: 7.8475 7.8475 7.8478 Å, 99.60 99.60 120.01°
Sites, in units of the cell vectors:
Pr 0.0000 0.0000 0.0000
Nd 0.1662 0.8338 0.5000
Nd 0.3331 0.6669 0.0000
Nd 0.5000 0.5000 0.5000
Nd 0.6669 0.3331 0.0000
Nd 0.8338 0.1662 0.5000
Sb 0.0837 0.4181 0.2509
Sb 0.2512 0.2512 0.7498
Sb 0.4181 0.0837 0.2509
Sb 0.5819 0.9163 0.7491
Sb 0.7488 0.7488 0.2502
Sb 0.9163 0.5819 0.7491


Entry 19:
DFT (PBE-GGA) results for a geometry-optimized K3Ag2 structure.

Properties
* energy relative to the lowest polymorph listed for this composition: 0.000 eV/atom

Cell: 6.7996 6.7996 6.7996 Å, 135.01 111.23 86.03°
Sites, in units of the cell vectors:
K 0.0000 0.0000 0.0000
K 0.2963 0.7963 0.5000
K 0.7037 0.2037 0.5000
Ag 0.3136 0.5000 0.8136
Ag 0.6864 0.5000 0.1864


Entry 20:
DFT (PBE-GGA) results for a geometry-optimized RbHgGeAu2 structure.

Cell: 5.2270 5.2270 5.3386 Å, 90.00 90.00 90.00°
Sites, in units of the cell vectors:
Rb 0.0000 0.0000 0.0000
Hg 0.5000 0.5000 0.0000
Ge 0.5000 0.5000 0.5000
Au 0.0000 0.5000 0.5000
Au 0.5000 0.0000 0.5000


no.,E_tot (eV per atom)
1,-6.46
2,-4.05
3,-5.49
4,-5.87
5,-4.70
6,-4.63
7,-3.41
8,-7.76
9,-4.67
10,-8.06
11,-4.65
12,-4.66
13,-2.83
14,-2.29
15,-4.29
16,-4.95
17,-9.16
18,-5.64
19,-1.77
20,-2.61